a.
VASP calculation (PBE+U) on a geometry-optimized CrCoF3 structure.

- Spin magnetization: 6.66 μB per formula unit
- Symmetry: No. 221
- Density of states at the Fermi level: 16.57 states/eV per cell

a = 4.1247 Å, b = 4.1247 Å, c = 4.1247 Å
α = 90.00°, β = 90.00°, γ = 90.00°
With the nearest neighbours (Å) after each atom.
Fractional positions:
Co  0.5000  0.5000  0.5000  12 F 2.92
Cr  0.0000  0.0000  0.0000  6 F 2.06
F  0.0000  0.5000  0.0000  2 Cr 2.06
F  0.0000  0.0000  0.5000  2 Cr 2.06
F  0.5000  0.0000  0.0000  2 Cr 2.06

---

b.
VASP calculation (PBE+U) on a geometry-optimized CrCoF3 structure.

- Spin magnetization: 7.76 μB per formula unit
- Symmetry: No. 221
- Density of states at the Fermi level: 12.36 states/eV per cell

a = 4.0468 Å, b = 4.0468 Å, c = 4.0468 Å
α = 90.00°, β = 90.00°, γ = 90.00°
With the nearest neighbours (Å) after each atom.
Fractional positions:
F  0.0000  0.0000  0.5000  2 Co 2.02
Co  0.0000  0.0000  0.0000  6 F 2.02
Cr  0.5000  0.5000  0.5000  12 F 2.86
F  0.0000  0.5000  0.0000  2 Co 2.02
F  0.5000  0.0000  0.0000  2 Co 2.02

---

Compare the structures above. Which one is the most stable? b is.